Record 1
VASP calculation (PBE) on an optimized crystal structure of K2PtSe.

```
K2PtSe
1.0
4.3780 0.0000 0.0000
0.0000 4.3780 0.0000
0.0000 0.0000 5.4830
K Pt Se
2 1 1
Cartesian
0.0000 0.0000 1.3705
0.0000 0.0000 4.1126
2.1890 2.1890 0.0000
2.1890 2.1890 2.7415
```

Calculated values
**Uncorrected energy**: -12.86 eV/cell
**Space group**: P4/mmm, No. 123
**E_form (uncorrected)**: -0.29 eV per atom
**Crystal system**: tetragonal
**Total moment**: 0.00 μB/atom

Record 2
VASP calculation (PBE) on an optimized crystal structure of La2Pr5NdTl.

```
La2Pr5NdTl
1.0
2.8486 -10.1928 0.0000
2.8486 10.1928 0.0000
0.0000 0.0000 11.0358
La Pr Nd Tl
4 10 2 2
Cartesian
2.8486 7.7927 5.5179
2.8486 7.7837 9.9692
2.8486 -7.7927 0.0000
2.8486 -7.7837 4.4513
2.8486 9.9315 2.2263
2.8486 4.3044 5.5792
2.8486 4.2905 9.9147
2.8486 2.3834 2.2252
2.8486 -0.0013 4.9814
2.8486 0.0013 10.4993
2.8486 -2.3834 7.7431
2.8486 -4.2905 4.3968
2.8486 -4.3044 0.0613
2.8486 -9.9315 7.7442
2.8486 6.1101 2.2287
2.8486 -6.1101 7.7466
2.8486 1.8834 7.7369
2.8486 -1.8834 2.2190
```

Calculated values
**Uncorrected energy**: -81.92 eV/cell
**Space group**: Cmc2_1, No. 36
**Crystal system**: orthorhombic
**Formation energy**: -0.008 eV/atom
**Total moment**: 0.00 μB/atom

Record 3
VASP calculation (PBE) on an optimized crystal structure of BaMgSn3.

```
BaMgSn3
1.0
3.5843 -6.1957 0.0000
3.5843 6.1957 0.0000
0.0000 0.0000 7.1034
Ba Mg Sn
2 2 6
Cartesian
3.5843 4.1205 5.3276
3.5843 -4.1205 1.7759
3.5843 0.0000 0.0000
3.5843 0.0000 3.5517
1.4638 1.2142 5.3276
1.4638 -1.2142 1.7759
3.5843 2.4436 1.7759
3.5843 -2.4436 5.3276
5.7048 1.2142 5.3276
5.7048 -1.2142 1.7759
```

Calculated values
**Uncorrected energy**: -34.46 eV/cell
**Space group**: Cmcm, No. 63
**Crystal system**: orthorhombic
**Formation energy**: -0.341 eV/atom
**Total moment**: 0.00 μB/atom

Record 4
VASP calculation (PBE) on an optimized crystal structure of Ta2NiP.

```
Ta2NiP
1.0
3.1480 0.0000 0.0000
0.0000 3.1480 0.0000
0.0000 0.0000 5.9785
Ta Ni P
2 1 1
Cartesian
0.0000 0.0000 1.4380
0.0000 0.0000 4.5405
1.5740 1.5740 2.9893
1.5740 1.5740 0.0000
```

Calculated values
**Uncorrected energy**: -35.89 eV/cell
**Space group**: P4/mmm, No. 123
**Crystal system**: tetragonal
**Formation energy**: -0.248 eV/atom
**Total moment**: 0.00 μB/atom

- What is the formula in the third record?
  BaMgSn3

- What is the total moment in the second record?
  0.00 μB/atom